# 1
# Ca2Al3CuAu4 (PBE, relaxed)
# E_tot = -3.799 eV/atom
data_Ca2Al3CuAu4
_chemical_formula_sum 'Ca2 Al3 Cu1 Au4'
_cell_length_a 4.3659
_cell_length_b 4.3659
_cell_length_c 10.7225
_cell_angle_alpha 90.00
_cell_angle_beta 90.00
_cell_angle_gamma 90.00
_symmetry_space_group_name_H-M 'P -4 m 2'
_symmetry_Int_Tables_number 115
_symmetry_space_group_name_Hall 'P -4 -2'
loop_
_atom_site_label
_atom_site_type_symbol
_atom_site_fract_x
_atom_site_fract_y
_atom_site_fract_z
Ca1 Ca 0.0000 0.5000 0.2438
Al1 Al 0.0000 0.0000 0.0000
Al2 Al 0.0000 0.5000 0.6302
Cu1 Cu 0.5000 0.5000 0.0000
Au1 Au 0.0000 0.0000 0.5000
Au2 Au 0.0000 0.5000 0.8638
Au3 Au 0.5000 0.5000 0.5000

# 2
# Ca2Al3CuAu12 (PBE, relaxed)
# E_tot = -3.422 eV/atom
data_Ca2Al3CuAu12
_chemical_formula_sum 'Ca6 Al9 Cu3 Au36'
_cell_length_a 8.4785
_cell_length_b 8.4785
_cell_length_c 19.8411
_cell_angle_alpha 90.00
_cell_angle_beta 90.00
_cell_angle_gamma 120.00
_symmetry_space_group_name_H-M 'R -3 m'
_symmetry_Int_Tables_number 166
_symmetry_space_group_name_Hall '-R 3 2"'
loop_
_atom_site_label
_atom_site_type_symbol
_atom_site_fract_x
_atom_site_fract_y
_atom_site_fract_z
Ca1 Ca 0.0000 0.0000 0.1249
Al1 Al 0.0000 0.5000 0.0000
Cu1 Cu 0.0000 0.0000 0.5000
Au1 Au 0.0064 0.5032 0.1262
Au2 Au 0.0138 0.5069 0.3734

# 3
# CaAlCuAu3 (PBE, relaxed)
# E_tot = -3.615 eV/atom
data_CaAlCuAu3
_chemical_formula_sum 'Ca4 Al4 Cu4 Au12'
_cell_length_a 6.7590
_cell_length_b 11.9568
_cell_length_c 6.1453
_cell_angle_alpha 90.00
_cell_angle_beta 90.00
_cell_angle_gamma 90.00
_symmetry_space_group_name_H-M 'C m c m'
_symmetry_Int_Tables_number 63
_symmetry_space_group_name_Hall '-C 2c 2'
loop_
_atom_site_label
_atom_site_type_symbol
_atom_site_fract_x
_atom_site_fract_y
_atom_site_fract_z
Ca1 Ca 0.0000 0.2057 0.2500
Al1 Al 0.0000 0.1247 0.7500
Cu1 Cu 0.0000 0.4412 0.2500
Au1 Au 0.0000 0.3308 0.7500
Au2 Au 0.2162 0.0000 0.0000

# 4
# Ca2AlCu3Au12 (PBE, relaxed)
# E_tot = -3.420 eV/atom
data_Ca2AlCu3Au12
_chemical_formula_sum 'Ca6 Al3 Cu9 Au36'
_cell_length_a 7.0731
_cell_length_b 7.0731
_cell_length_c 26.4340
_cell_angle_alpha 90.00
_cell_angle_beta 90.00
_cell_angle_gamma 120.00
_symmetry_space_group_name_H-M 'R -3 m'
_symmetry_Int_Tables_number 166
_symmetry_space_group_name_Hall '-R 3 2"'
loop_
_atom_site_label
_atom_site_type_symbol
_atom_site_fract_x
_atom_site_fract_y
_atom_site_fract_z
Ca1 Ca 0.0000 0.0000 0.1481
Al1 Al 0.0000 0.0000 0.5000
Cu1 Cu 0.0000 0.5000 0.0000
Au1 Au 0.0292 0.5146 0.1031
Au2 Au 0.0647 0.5323 0.6205

# 5
# Ca3AlCu2Au9 (PBE, relaxed)
# E_tot = -3.505 eV/atom
data_Ca3AlCu2Au9
_chemical_formula_sum 'Ca3 Al1 Cu2 Au9'
_cell_length_a 5.8905
_cell_length_b 5.8905
_cell_length_c 11.5946
_cell_angle_alpha 90.00
_cell_angle_beta 90.00
_cell_angle_gamma 120.00
_symmetry_space_group_name_H-M 'P -3 m 1'
_symmetry_Int_Tables_number 164
_symmetry_space_group_name_Hall '-P 3 2"'
loop_
_atom_site_label
_atom_site_type_symbol
_atom_site_fract_x
_atom_site_fract_y
_atom_site_fract_z
Ca1 Ca 0.0000 0.0000 0.0000
Ca2 Ca 0.3333 0.6667 0.7616
Al1 Al 0.0000 0.0000 0.5000
Cu1 Cu 0.3333 0.6667 0.1679
Au1 Au 0.0000 0.5000 0.0000
Au2 Au 0.1694 0.3387 0.3395

# 6
# CaAlCu2Au5 (PBE, relaxed)
# E_tot = -3.529 eV/atom
data_CaAlCu2Au5
_chemical_formula_sum 'Ca2 Al2 Cu4 Au10'
_cell_length_a 4.7656
_cell_length_b 5.6993
_cell_length_c 13.6484
_cell_angle_alpha 90.00
_cell_angle_beta 90.00
_cell_angle_gamma 90.00
_symmetry_space_group_name_H-M 'I m m m'
_symmetry_Int_Tables_number 71
_symmetry_space_group_name_Hall '-I 2 2'
loop_
_atom_site_label
_atom_site_type_symbol
_atom_site_fract_x
_atom_site_fract_y
_atom_site_fract_z
Ca1 Ca 0.0000 0.0000 0.0000
Al1 Al 0.0000 0.0000 0.5000
Cu1 Cu 0.0000 0.5000 0.1840
Au1 Au 0.0000 0.2547 0.3429
Au2 Au 0.0000 0.5000 0.0000